(1)
This record from Alexandria describes Y2RhAu after structural relaxation. The functional is GGA-PBE.

The structure in CIF format:
```
data_Y2RhAu
_cell_length_a 3.616
_cell_length_b 4.547
_cell_length_c 10.956
_cell_angle_alpha 90.00
_cell_angle_beta 90.00
_cell_angle_gamma 90.00
_symmetry_space_group_name_H-M 'I m m 2'
_symmetry_Int_Tables_number 44
loop_
_symmetry_equiv_pos_as_xyz
'x,y,z'
'-x,-y,z'
'-x,y,z'
'x,-y,z'
'x+1/2,y+1/2,z+1/2'
'-x+1/2,-y+1/2,z+1/2'
'-x+1/2,y+1/2,z+1/2'
'x+1/2,-y+1/2,z+1/2'
loop_
_atom_site_label
_atom_site_fract_x
_atom_site_fract_y
_atom_site_fract_z
_atom_site_occupancy
Y1 0.000 0.000 0.000 1
Y2 0.000 0.500 0.220 1
Rh1 0.000 0.500 0.721 1
Au1 0.000 0.000 0.431 1
```

Properties
The value obtained for the density of states at the Fermi level is 6.3 states/eV/cell. The calculation puts the energy of formation at -0.62 eV/atom.


(2)
This record from Alexandria describes Al2HgSb2 after structural relaxation. The functional is GGA-PBE.

The structure in CIF format:
```
data_Al2HgSb2
_cell_length_a 8.386
_cell_length_b 8.386
_cell_length_c 3.402
_cell_angle_alpha 90.00
_cell_angle_beta 90.00
_cell_angle_gamma 90.00
_symmetry_space_group_name_H-M 'P 4/m b m'
_symmetry_Int_Tables_number 127
_symmetry_space_group_name_Hall '-P 4 2ab'
loop_
_atom_site_label
_atom_site_fract_x
_atom_site_fract_y
_atom_site_fract_z
_atom_site_occupancy
Al1 0.141 0.359 0.000 1
Hg1 0.000 0.000 0.000 1
Sb1 0.152 0.652 0.500 1
```

Properties
The value obtained for the density of states at the Fermi level is 4.4 states/eV/cell. The offset from the most stable computed form comes out at 151 meV per atom. The calculation puts the uncorrected formation energy at 153 meV/atom.


(3)
This record from Alexandria describes Tb6GeTe5 after structural relaxation. The functional is GGA-PBE.

The structure in CIF format:
```
data_Tb6GeTe5
_cell_length_a 7.545
_cell_length_b 13.036
_cell_length_c 7.544
_cell_angle_alpha 90.00
_cell_angle_beta 109.37
_cell_angle_gamma 90.00
_symmetry_space_group_name_H-M 'C 1 2/m 1'
_symmetry_Int_Tables_number 12
loop_
_symmetry_equiv_pos_as_xyz
'x,y,z'
'-x,-y,-z'
'-x,y,-z'
'x,-y,z'
'x+1/2,y+1/2,z'
'-x+1/2,-y+1/2,-z'
'-x+1/2,y+1/2,-z'
'x+1/2,-y+1/2,z'
loop_
_atom_site_label
_atom_site_fract_x
_atom_site_fract_y
_atom_site_fract_z
_atom_site_occupancy
Tb1 0.227 0.000 0.262 1
Tb2 0.230 0.154 0.731 1
Ge1 0.000 0.000 0.500 1
Te1 0.000 0.175 0.000 1
Te2 0.000 0.335 0.500 1
Te3 0.000 0.500 0.000 1
```

Properties
The value obtained for the density of states at the Fermi level is 11.8 states/eV/cell. The calculation puts the uncorrected formation energy at -1324 meV/atom.


(4)
This record from Alexandria describes Ac2CoH6Pd after structural relaxation. The functional is GGA-PBE.

The structure in CIF format:
```
data_Ac2CoH6Pd
_cell_length_a 5.516
_cell_length_b 5.516
_cell_length_c 7.584
_cell_angle_alpha 90.00
_cell_angle_beta 90.00
_cell_angle_gamma 90.00
_symmetry_space_group_name_H-M 'I 4/m m m'
_symmetry_Int_Tables_number 139
_symmetry_space_group_name_Hall '-I 4 2'
loop_
_atom_site_label
_atom_site_fract_x
_atom_site_fract_y
_atom_site_fract_z
_atom_site_occupancy
Ac1 0.000 0.500 0.250 1
Co1 0.000 0.000 0.000 1
H1 0.000 0.000 0.223 1
H2 0.213 0.213 0.000 1
Pd1 0.000 0.000 0.500 1
```

Properties
The calculation puts the total energy at -90.024 eV for the cell shown. The value obtained for the density of states at the Fermi level is 9.3 states/eV/cell.


(5)
This record from Alexandria describes Li2AcHg3 after structural relaxation. The functional is GGA-PBE.

The structure in CIF format:
```
data_Li2AcHg3
_cell_length_a 10.797
_cell_length_b 9.289
_cell_length_c 5.716
_cell_angle_alpha 90.00
_cell_angle_beta 90.00
_cell_angle_gamma 90.00
_symmetry_space_group_name_H-M 'C m c m'
_symmetry_Int_Tables_number 63
_symmetry_space_group_name_Hall '-C 2c 2'
loop_
_atom_site_label
_atom_site_fract_x
_atom_site_fract_y
_atom_site_fract_z
_atom_site_occupancy
Li1 0.212 0.000 0.000 1
Ac1 0.000 0.325 0.250 1
Hg1 0.000 0.050 0.750 1
Hg2 0.177 0.296 0.750 1
```

Properties
The value obtained for the density of states at the Fermi level is 16.0 states/eV/cell. The calculation puts the energy of formation at -0.37 eV/atom. The offset from the most stable computed form comes out at 39 meV per atom.


(6)
This record from Alexandria describes TaCd after structural relaxation. The functional is GGA-PBE.

The structure in CIF format:
```
data_TaCd
_cell_length_a 10.548
_cell_length_b 4.914
_cell_length_c 6.063
_cell_angle_alpha 90.00
_cell_angle_beta 90.00
_cell_angle_gamma 90.00
_symmetry_space_group_name_H-M 'P n m a'
_symmetry_Int_Tables_number 62
loop_
_symmetry_equiv_pos_as_xyz
'x,y,z'
'-x,-y,-z'
'-x+1/2,-y,z+1/2'
'x+1/2,y,-z+1/2'
'x+1/2,-y+1/2,-z+1/2'
'-x+1/2,y+1/2,z+1/2'
'-x,y+1/2,-z'
'x,-y+1/2,z'
loop_
_atom_site_label
_atom_site_fract_x
_atom_site_fract_y
_atom_site_fract_z
_atom_site_occupancy
Ta1 0.075 0.250 0.032 1
Ta2 0.159 0.750 0.796 1
Cd1 0.083 0.250 0.525 1
Cd2 0.172 0.750 0.279 1
```

Properties
The value obtained for the density of states at the Fermi level is 12.3 states/eV/cell. The calculation puts the energy of formation at 0.39 eV/atom.